Entry 1:
DFT (PBE-GGA) results for a relaxed LiTePbBr2 crystal.

Calculated values
The crystal system is tetragonal. For the uncorrected formation energy, the calculation gives 0.02 eV per atom. Its uncorrected energy is -2.40 eV/atom. The value obtained for the density of states at the Fermi level is 4.0 states/eV/cell.

Unit cell a=5.860 b=5.860 c=6.138 alpha=90.00 beta=90.00 gamma=90.00
Sites, in units of the cell vectors:
Li  0.000  0.000  0.000
Te  0.500  0.500  0.500
Pb  0.500  0.500  0.000
Br  0.000  0.500  0.500
Br  0.500  0.000  0.500

Entry 2:
DFT (PBE-GGA) results for a relaxed Li2TiPbBr crystal.

Calculated values
The crystal system is tetragonal. For the uncorrected formation energy, the calculation gives 0.57 eV per atom. Its uncorrected energy is -2.85 eV/atom. The value obtained for the density of states at the Fermi level is 4.1 states/eV/cell.

Unit cell a=5.112 b=5.112 c=6.018 alpha=90.00 beta=90.00 gamma=90.00
Sites, in units of the cell vectors:
Li  0.000  0.500  0.000
Li  0.500  0.000  0.000
Ti  0.000  0.000  0.500
Pb  0.500  0.500  0.000
Br  0.500  0.500  0.500

Entry 3:
DFT (PBE-GGA) results for a relaxed LiTl2PbBr5 crystal.

Calculated values
The crystal system is orthorhombic. For the uncorrected formation energy, the calculation gives -1.03 eV per atom. Its uncorrected energy is -3.11 eV/atom. The value obtained for the density of states at the Fermi level is 0.0 states/eV/cell.

Unit cell a=9.870 b=9.870 c=14.381 alpha=90.00 beta=90.00 gamma=153.89
Sites, in units of the cell vectors:
Li  0.053  0.947  0.500
Li  0.947  0.053  0.000
Tl  0.373  0.627  0.397
Tl  0.407  0.593  0.740
Tl  0.593  0.407  0.240
Tl  0.627  0.373  0.897
Pb  0.296  0.704  0.101
Pb  0.704  0.296  0.601
Br  0.006  0.994  0.845
Br  0.142  0.858  0.074
Br  0.186  0.814  0.456
Br  0.215  0.785  0.747
Br  0.458  0.542  0.090
Br  0.542  0.458  0.590
Br  0.785  0.215  0.247
Br  0.814  0.186  0.956
Br  0.858  0.142  0.574
Br  0.994  0.006  0.345

Entry 4:
DFT (PBE-GGA) results for a relaxed Li2PdBr crystal.

Calculated values
The crystal system is tetragonal. For the uncorrected formation energy, the calculation gives -0.46 eV per atom. As for the polymorph energy (0 for the lowest one): 0 meV per atom. Its uncorrected energy is -3.14 eV/atom. The value obtained for the density of states at the Fermi level is 3.0 states/eV/cell.

Unit cell a=5.774 b=5.774 c=5.774 alpha=105.10 beta=105.10 gamma=118.61
Sites, in units of the cell vectors:
Li  0.115  0.625  0.990
Li  0.375  0.365  0.490
Li  0.635  0.125  0.010
Li  0.875  0.885  0.510
Pd  0.250  0.750  0.500
Pd  0.500  0.500  0.000
Br  0.000  0.000  0.000
Br  0.750  0.250  0.500

Entry 5:
DFT (PBE-GGA) results for a relaxed Li3Pd5Br12 crystal.

Calculated values
The crystal system is cubic. For the uncorrected formation energy, the calculation gives -0.48 eV per atom. Its uncorrected energy is -3.07 eV/atom. The value obtained for the density of states at the Fermi level is 42.4 states/eV/cell.

Unit cell a=14.323 b=14.323 c=14.323 alpha=109.47 beta=109.47 gamma=109.47
Sites, in units of the cell vectors:
Li  0.125  0.250  0.375
Li  0.125  0.375  0.750
Li  0.250  0.375  0.125
Li  0.250  0.875  0.625
Li  0.375  0.125  0.250
Li  0.375  0.750  0.125
Li  0.625  0.250  0.875
Li  0.625  0.875  0.750
Li  0.750  0.125  0.375
Li  0.750  0.625  0.875
Li  0.875  0.625  0.250
Li  0.875  0.750  0.625
Pd  0.000  0.000  0.000
Pd  0.000  0.000  0.500
Pd  0.000  0.500  0.000
Pd  0.000  0.500  0.500
Pd  0.125  0.750  0.875
Pd  0.125  0.875  0.250
Pd  0.250  0.125  0.875
Pd  0.250  0.625  0.375
Pd  0.375  0.250  0.625
Pd  0.375  0.625  0.750
Pd  0.500  0.000  0.000
Pd  0.500  0.000  0.500
Pd  0.500  0.500  0.000
Pd  0.500  0.500  0.500
Pd  0.625  0.375  0.250
Pd  0.625  0.750  0.375
Pd  0.750  0.375  0.625
Pd  0.750  0.875  0.125
Pd  0.875  0.125  0.750
Pd  0.875  0.250  0.125
Br  0.021  0.187  0.141
Br  0.021  0.334  0.881
Br  0.047  0.687  0.666
Br  0.047  0.859  0.381
Br  0.119  0.641  0.453
Br  0.119  0.979  0.666
Br  0.141  0.021  0.187
Br  0.141  0.619  0.953
Br  0.166  0.187  0.547
Br  0.166  0.479  0.619
Br  0.187  0.141  0.021
Br  0.187  0.547  0.166
Br  0.313  0.334  0.953
Br  0.313  0.479  0.359
Br  0.334  0.881  0.021
Br  0.334  0.953  0.313
Br  0.359  0.313  0.479
Br  0.359  0.547  0.881
Br  0.381  0.047  0.859
Br  0.381  0.834  0.521
Br  0.453  0.119  0.641
Br  0.453  0.834  0.813
Br  0.479  0.359  0.313
Br  0.479  0.619  0.166
Br  0.521  0.381  0.834
Br  0.521  0.641  0.687
Br  0.547  0.166  0.187
Br  0.547  0.881  0.359
Br  0.619  0.166  0.479
Br  0.619  0.953  0.141
Br  0.641  0.453  0.119
Br  0.641  0.687  0.521
Br  0.666  0.047  0.687
Br  0.666  0.119  0.979
Br  0.687  0.521  0.641
Br  0.687  0.666  0.047
Br  0.813  0.453  0.834
Br  0.813  0.859  0.979
Br  0.834  0.521  0.381
Br  0.834  0.813  0.453
Br  0.859  0.381  0.047
Br  0.859  0.979  0.813
Br  0.881  0.021  0.334
Br  0.881  0.359  0.547
Br  0.953  0.141  0.619
Br  0.953  0.313  0.334
Br  0.979  0.666  0.119
Br  0.979  0.813  0.859

Entry 6:
DFT (PBE-GGA) results for a relaxed Li5Pd3Br12 crystal.

Calculated values
The crystal system is cubic. For the uncorrected formation energy, the calculation gives -0.63 eV per atom. Its uncorrected energy is -2.89 eV/atom. The value obtained for the density of states at the Fermi level is 65.1 states/eV/cell.

Unit cell a=14.328 b=14.328 c=14.328 alpha=109.47 beta=109.47 gamma=109.47
Sites, in units of the cell vectors:
Li  0.000  0.000  0.000
Li  0.000  0.000  0.500
Li  0.000  0.500  0.000
Li  0.000  0.500  0.500
Li  0.125  0.750  0.875
Li  0.125  0.875  0.250
Li  0.250  0.125  0.875
Li  0.250  0.625  0.375
Li  0.375  0.250  0.625
Li  0.375  0.625  0.750
Li  0.500  0.000  0.000
Li  0.500  0.000  0.500
Li  0.500  0.500  0.000
Li  0.500  0.500  0.500
Li  0.625  0.375  0.250
Li  0.625  0.750  0.375
Li  0.750  0.375  0.625
Li  0.750  0.875  0.125
Li  0.875  0.125  0.750
Li  0.875  0.250  0.125
Pd  0.125  0.250  0.375
Pd  0.125  0.375  0.750
Pd  0.250  0.375  0.125
Pd  0.250  0.875  0.625
Pd  0.375  0.125  0.250
Pd  0.375  0.750  0.125
Pd  0.625  0.250  0.875
Pd  0.625  0.875  0.750
Pd  0.750  0.125  0.375
Pd  0.750  0.625  0.875
Pd  0.875  0.625  0.250
Pd  0.875  0.750  0.625
Br  0.035  0.699  0.661
Br  0.035  0.836  0.374
Br  0.038  0.199  0.164
Br  0.038  0.339  0.874
Br  0.126  0.664  0.465
Br  0.126  0.962  0.661
Br  0.161  0.199  0.535
Br  0.161  0.462  0.626
Br  0.164  0.038  0.199
Br  0.164  0.626  0.965
Br  0.199  0.164  0.038
Br  0.199  0.535  0.161
Br  0.301  0.339  0.965
Br  0.301  0.462  0.336
Br  0.336  0.301  0.462
Br  0.336  0.535  0.874
Br  0.339  0.874  0.038
Br  0.339  0.965  0.301
Br  0.374  0.035  0.836
Br  0.374  0.839  0.538
Br  0.462  0.336  0.301
Br  0.462  0.626  0.161
Br  0.465  0.126  0.664
Br  0.465  0.839  0.801
Br  0.535  0.161  0.199
Br  0.535  0.874  0.336
Br  0.538  0.374  0.839
Br  0.538  0.664  0.699
Br  0.626  0.161  0.462
Br  0.626  0.965  0.164
Br  0.661  0.035  0.699
Br  0.661  0.126  0.962
Br  0.664  0.465  0.126
Br  0.664  0.699  0.538
Br  0.699  0.538  0.664
Br  0.699  0.661  0.035
Br  0.801  0.465  0.839
Br  0.801  0.836  0.962
Br  0.836  0.374  0.035
Br  0.836  0.962  0.801
Br  0.839  0.538  0.374
Br  0.839  0.801  0.465
Br  0.874  0.038  0.339
Br  0.874  0.336  0.535
Br  0.962  0.661  0.126
Br  0.962  0.801  0.836
Br  0.965  0.164  0.626
Br  0.965  0.301  0.339

Entry 7:
DFT (PBE-GGA) results for a relaxed Li2PdBr crystal.

Calculated values
The crystal system is cubic. For the uncorrected formation energy, the calculation gives -0.43 eV per atom. As for the polymorph energy (0 for the lowest one): 32 meV per atom. Its uncorrected energy is -3.10 eV/atom. The value obtained for the density of states at the Fermi level is 1.5 states/eV/cell.

Unit cell a=4.587 b=4.587 c=4.587 alpha=60.00 beta=60.00 gamma=60.00
Sites, in units of the cell vectors:
Li  0.250  0.250  0.250
Li  0.750  0.750  0.750
Pd  0.000  0.000  0.000
Br  0.500  0.500  0.500

Entry 8:
DFT (PBE-GGA) results for a relaxed LiPd2Br crystal.

Calculated values
The crystal system is tetragonal. For the uncorrected formation energy, the calculation gives -0.21 eV per atom. Its uncorrected energy is -3.70 eV/atom. The value obtained for the density of states at the Fermi level is 2.7 states/eV/cell.

Unit cell a=10.076 b=10.076 c=10.076 alpha=158.13 beta=158.13 gamma=31.12
Sites, in units of the cell vectors:
Li  0.000  0.000  0.000
Li  0.750  0.250  0.500
Pd  0.123  0.625  0.998
Pd  0.375  0.373  0.498
Pd  0.627  0.125  0.002
Pd  0.875  0.877  0.502
Br  0.250  0.750  0.500
Br  0.500  0.500  0.000

Entry 9:
DFT (PBE-GGA) results for a relaxed LiPdBr5 crystal.

Calculated values
The crystal system is monoclinic. For the uncorrected formation energy, the calculation gives -0.50 eV per atom. As for the polymorph energy (0 for the lowest one): 0 meV per atom. Its uncorrected energy is -2.71 eV/atom. The value obtained for the density of states at the Fermi level is 9.0 states/eV/cell.

Unit cell a=7.760 b=7.760 c=9.502 alpha=106.24 beta=106.24 gamma=57.25
Sites, in units of the cell vectors:
Li  0.190  0.810  0.750
Li  0.810  0.190  0.250
Pd  0.500  0.500  0.000
Pd  0.500  0.500  0.500
Br  0.125  0.625  0.896
Br  0.135  0.577  0.488
Br  0.364  0.636  0.250
Br  0.375  0.875  0.604
Br  0.423  0.865  0.012
Br  0.577  0.135  0.988
Br  0.625  0.125  0.396
Br  0.636  0.364  0.750
Br  0.865  0.423  0.512
Br  0.875  0.375  0.104

Entry 10:
DFT (PBE-GGA) results for a relaxed LiPdBr5 crystal.

Calculated values
The crystal system is monoclinic. For the uncorrected formation energy, the calculation gives -0.50 eV per atom. As for the polymorph energy (0 for the lowest one): 5 meV per atom. Its uncorrected energy is -2.71 eV/atom. The value obtained for the density of states at the Fermi level is 10.7 states/eV/cell.

Unit cell a=7.117 b=7.117 c=9.509 alpha=105.69 beta=105.69 gamma=104.39
Sites, in units of the cell vectors:
Li  0.183  0.817  0.750
Li  0.817  0.183  0.250
Pd  0.500  0.500  0.000
Pd  0.500  0.500  0.500
Br  0.168  0.184  0.882
Br  0.184  0.168  0.382
Br  0.264  0.703  0.454
Br  0.297  0.736  0.046
Br  0.419  0.581  0.750
Br  0.581  0.419  0.250
Br  0.703  0.264  0.954
Br  0.736  0.297  0.546
Br  0.816  0.832  0.618
Br  0.832  0.816  0.118

Entry 11:
DFT (PBE-GGA) results for a relaxed LiPdBr6 crystal.

Calculated values
The crystal system is monoclinic. For the uncorrected formation energy, the calculation gives -0.44 eV per atom. Its uncorrected energy is -2.58 eV/atom. The value obtained for the density of states at the Fermi level is 5.4 states/eV/cell.

Unit cell a=7.547 b=7.547 c=7.181 alpha=115.07 beta=115.07 gamma=99.79
Sites, in units of the cell vectors:
Li  0.000  0.000  0.000
Pd  0.500  0.500  0.500
Br  0.107  0.409  0.257
Br  0.409  0.107  0.257
Br  0.413  0.413  0.774
Br  0.587  0.587  0.226
Br  0.591  0.893  0.743
Br  0.893  0.591  0.743

Entry 12:
DFT (PBE-GGA) results for a relaxed LiPdBr3 crystal.

Calculated values
The crystal system is cubic. For the uncorrected formation energy, the calculation gives -0.56 eV per atom. As for the polymorph energy (0 for the lowest one): 0 meV per atom. Its uncorrected energy is -2.98 eV/atom. The value obtained for the density of states at the Fermi level is 1.2 states/eV/cell.

Unit cell a=5.184 b=5.184 c=5.184 alpha=90.00 beta=90.00 gamma=90.00
Sites, in units of the cell vectors:
Li  0.000  0.000  0.000
Pd  0.500  0.500  0.500
Br  0.000  0.500  0.500
Br  0.500  0.000  0.500
Br  0.500  0.500  0.000

Entry 13:
DFT (PBE-GGA) results for a relaxed Li2PdBr5 crystal.

Calculated values
The crystal system is orthorhombic. For the uncorrected formation energy, the calculation gives -0.88 eV per atom. Its uncorrected energy is -3.06 eV/atom. The value obtained for the density of states at the Fermi level is 1.9 states/eV/cell.

Unit cell a=7.581 b=7.581 c=11.916 alpha=90.00 beta=90.00 gamma=138.09
Sites, in units of the cell vectors:
Li  0.188  0.812  0.561
Li  0.188  0.812  0.939
Li  0.812  0.188  0.061
Li  0.812  0.188  0.439
Pd  0.199  0.801  0.250
Pd  0.801  0.199  0.750
Br  0.073  0.927  0.105
Br  0.073  0.927  0.395
Br  0.290  0.710  0.750
Br  0.323  0.677  0.097
Br  0.323  0.677  0.403
Br  0.677  0.323  0.597
Br  0.677  0.323  0.903
Br  0.710  0.290  0.250
Br  0.927  0.073  0.605
Br  0.927  0.073  0.895

Entry 14:
DFT (PBE-GGA) results for a relaxed Li2PdPtBr crystal.

Calculated values
The crystal system is tetragonal. For the uncorrected formation energy, the calculation gives 0.11 eV per atom. Its uncorrected energy is -3.23 eV/atom. The value obtained for the density of states at the Fermi level is 5.4 states/eV/cell.

Unit cell a=4.777 b=4.777 c=4.905 alpha=90.00 beta=90.00 gamma=90.00
Sites, in units of the cell vectors:
Li  0.000  0.500  0.000
Li  0.500  0.000  0.000
Pd  0.000  0.000  0.000
Pt  0.000  0.000  0.500
Br  0.500  0.500  0.500

Entry 15:
DFT (PBE-GGA) results for a relaxed LiPdPtBr2 crystal.

Calculated values
The crystal system is tetragonal. For the uncorrected formation energy, the calculation gives 0.11 eV per atom. Its uncorrected energy is -3.19 eV/atom. The value obtained for the density of states at the Fermi level is 3.4 states/eV/cell.

Unit cell a=5.097 b=5.097 c=5.043 alpha=90.00 beta=90.00 gamma=90.00
Sites, in units of the cell vectors:
Li  0.000  0.000  0.000
Pd  0.500  0.500  0.500
Pt  0.500  0.500  0.000
Br  0.000  0.500  0.500
Br  0.500  0.000  0.500

Entry 16:
DFT (PBE-GGA) results for a relaxed LiPdRh2Br crystal.

Calculated values
The crystal system is tetragonal. For the uncorrected formation energy, the calculation gives 0.85 eV per atom. Its uncorrected energy is -3.84 eV/atom. The value obtained for the density of states at the Fermi level is 6.8 states/eV/cell.

Unit cell a=4.853 b=4.853 c=4.639 alpha=90.00 beta=90.00 gamma=90.00
Sites, in units of the cell vectors:
Li  0.000  0.000  0.000
Pd  0.000  0.000  0.500
Rh  0.000  0.500  0.500
Rh  0.500  0.000  0.500
Br  0.500  0.500  0.000

Entry 17:
DFT (PBE-GGA) results for a relaxed LiPd2SBr crystal.

Calculated values
The crystal system is tetragonal. For the uncorrected formation energy, the calculation gives 0.23 eV per atom. Its uncorrected energy is -3.39 eV/atom. The value obtained for the density of states at the Fermi level is 3.8 states/eV/cell.

Unit cell a=4.816 b=4.816 c=4.556 alpha=90.00 beta=90.00 gamma=90.00
Sites, in units of the cell vectors:
Li  0.000  0.000  0.000
Pd  0.000  0.500  0.500
Pd  0.500  0.000  0.500
S  0.500  0.500  0.000
Br  0.000  0.000  0.500